Density functional theory data (PBE) for AcTbSm2P4 after structural relaxation.

Summary:
total magnetization	0.0	μB/f.u.
raw total energy	-6.488	eV per atom
energy relative to the elements	-1.5106	eV per atom

a b c (Å): 7.238 4.179 7.239
angles (deg): 90.00 109.35 90.00
Element x y z (fractional)
Ac 0.000 0.000 0.000
Tb 0.500 0.500 0.000
Sm 0.000 0.500 0.500
Sm 0.500 0.000 0.500
P 0.259 0.000 0.747
P 0.264 0.500 0.260
P 0.736 0.500 0.740
P 0.741 0.000 0.253